Record 1
SbHRh3 after structural relaxation. Source: the Alexandria database, functional PBE.

It has space group C2/m (No. 12), with a = 8.006 Å, b = 8.006 Å, c = 5.676 Å, α = 90.00°, β = 134.84° and γ = 90.00°. The distinct sites, in fractional coordinates, are Sb at (0.250, 0.000, 0.000), H at (0.250, 0.250, 0.500), Rh at (0.000, 0.228, 0.500), Rh at (0.000, 0.249, 0.000) and Rh at (0.227, 0.500, 0.498).

For the distance to the lowest polymorph of the same formula, the calculation gives 0 meV/atom. The crystal system is monoclinic.

***

Record 2
Sb3H2Rh6 after structural relaxation. Source: the Alexandria database, functional PBE.

It has space group I4/mmm (No. 139), with a = 3.945 Å, b = 3.945 Å, c = 20.894 Å, α = 90.00°, β = 90.00° and γ = 90.00°. The distinct sites, in fractional coordinates, are Sb at (0.000, 0.000, 0.000), Sb at (0.000, 0.000, 0.177), H at (0.000, 0.000, 0.419), Rh at (0.000, 0.000, 0.298) and Rh at (0.000, 0.500, 0.090).

The crystal system is tetragonal. Its final energy is -0.4391 Ry/atom.

***

Record 3
SbHRh3 after structural relaxation. Source: the Alexandria database, functional PBE.

It has space group Cmcm (No. 63), with a = 5.558 Å, b = 13.241 Å, c = 4.808 Å, α = 90.00°, β = 90.00° and γ = 90.00°. The distinct sites, in fractional coordinates, are Sb at (0.000, 0.179, 0.250), H at (0.000, 0.413, 0.250), Rh at (0.000, 0.000, 0.000) and Rh at (0.241, 0.160, 0.750).

For the distance to the lowest polymorph of the same formula, the calculation gives 449 meV/atom. The crystal system is orthorhombic.

***

Record 4
Sb2H2Rh after structural relaxation. Source: the Alexandria database, functional PBE.

It has space group I4/mmm (No. 139), with a = 3.307 Å, b = 3.307 Å, c = 12.833 Å, α = 90.00°, β = 90.00° and γ = 90.00°. The distinct sites, in fractional coordinates, are Sb at (0.000, 0.000, 0.129), H at (0.000, 0.500, 0.250) and Rh at (0.000, 0.000, 0.500).

The crystal system is tetragonal. Its final energy is -0.3079 Ry/atom.

***

Record 5
SbHRh2 after structural relaxation. Source: the Alexandria database, functional PBE.

It has space group Fm-3m (No. 225), with a = 6.070 Å, b = 6.070 Å, c = 6.070 Å, α = 90.00°, β = 90.00° and γ = 90.00°. The distinct sites, in fractional coordinates, are Sb at (0.000, 0.000, 0.000), H at (0.000, 0.000, 0.500) and Rh at (0.250, 0.250, 0.250).

For the distance to the lowest polymorph of the same formula, the calculation gives 341 meV/atom. The crystal system is cubic.

***

Record 6
SbHRh3 after structural relaxation. Source: the Alexandria database, functional PBE.

It has space group C2/m (No. 12), with a = 13.604 Å, b = 3.739 Å, c = 6.448 Å, α = 90.00°, β = 113.89° and γ = 90.00°. The distinct sites, in fractional coordinates, are Sb at (0.151, 0.000, 0.184), H at (0.025, 0.500, 0.740), Rh at (0.014, 0.000, 0.708), Rh at (0.170, 0.500, 0.913) and Rh at (0.197, 0.000, 0.620).

For the distance to the lowest polymorph of the same formula, the calculation gives 228 meV/atom. The crystal system is monoclinic.

***

Quick rundown of spin magnetization, same order as above: 0.000 0.000 0.000 0.000 0.000 0.000 μB per formula unit